Entry 1:
# LiTm4Rh5

A geometry-optimized LiTm4Rh5 structure (PBE, Alexandria via LeMat-Bulk).

As for the total energy: -64.61 eV/cell. The calculation puts the formation enthalpy at 0 K at -805 meV per atom.

It has space group P4/mmm (No. 123), with a = 3.3413 Å, b = 3.3413 Å, c = 16.1583 Å, α = 90.00°, β = 90.00° and γ = 90.00°. Symmetry generates all atoms from Li at (0.0000, 0.0000, 0.0000), Tm at (0.0000, 0.0000, 0.1812), Tm at (0.0000, 0.0000, 0.3940), Rh at (0.5000, 0.5000, 0.0867), Rh at (0.5000, 0.5000, 0.2915) and Rh at (0.5000, 0.5000, 0.5000).

Entry 2:
# TlFeRu

A geometry-optimized TlFeRu structure (PBE, Alexandria via LeMat-Bulk).

As for the total energy: -71.75 eV/cell. The calculation puts the formation enthalpy at 0 K at 723 meV per atom. As for the relative energy among the computed polymorphs: 244 meV/atom.

It has space group F-43m (No. 216), with a = 6.0143 Å, b = 6.0143 Å, c = 6.0143 Å, α = 90.00°, β = 90.00° and γ = 90.00°. Symmetry generates all atoms from Tl at (0.0000, 0.0000, 0.0000), Fe at (0.2500, 0.2500, 0.7500) and Ru at (0.0000, 0.0000, 0.5000).

Entry 3:
# CaZr2Pb2

A geometry-optimized CaZr2Pb2 structure (PBE, Alexandria via LeMat-Bulk).

As for the total energy: -54.11 eV/cell. The calculation puts the formation enthalpy at 0 K at -109 meV per atom. As for the relative energy among the computed polymorphs: 30 meV/atom.

It has space group I4/mmm (No. 139), with a = 4.4445 Å, b = 4.4445 Å, c = 14.1574 Å, α = 90.00°, β = 90.00° and γ = 90.00°. Symmetry generates all atoms from Ca at (0.0000, 0.0000, 0.0000), Zr at (0.0000, 0.5000, 0.2500) and Pb at (0.0000, 0.0000, 0.3948).

Entry 4:
# NaCuTe3

A geometry-optimized NaCuTe3 structure (PBE, Alexandria via LeMat-Bulk).

As for the total energy: -94.95 eV/cell. For the energy relative to the elements, uncorrected, the calculation gives -0.20 eV/atom. As for the relative energy among the computed polymorphs: 0 meV/atom.

It has space group R-3c (No. 167, hexagonal axes), with a = 8.3661 Å, b = 8.3661 Å, c = 13.2110 Å, α = 90.00°, β = 90.00° and γ = 120.00°. Symmetry generates all atoms from Na at (0.0000, 0.0000, 0.2500), Cu at (0.0000, 0.0000, 0.0000) and Te at (0.0000, 0.4208, 0.2500).